# 1
TaV3: relaxed, PBE-GGA.

Results
The formation energy comes out at 83 kJ/mol of formula units. As for the excess energy over the best structure of this formula in the dataset: 170.8 meV/atom.

Cell: 5.013 4.157 5.863 Å, 90.00 90.00 90.00°
Sites, in units of the cell vectors:
Ta: 0.250 0.000 0.169
Ta: 0.750 0.000 0.831
V: 0.000 0.500 0.500
V: 0.250 0.000 0.639
V: 0.250 0.500 0.884
V: 0.500 0.500 0.500
V: 0.750 0.000 0.361
V: 0.750 0.500 0.116

# 2
TaV3: relaxed, PBE-GGA.

Results
The formation energy comes out at 19 kJ/mol of formula units. As for the excess energy over the best structure of this formula in the dataset: 5.0 meV/atom.

Cell: 4.359 4.359 3.113 Å, 90.00 90.00 90.00°
Sites, in units of the cell vectors:
Ta: 0.000 0.000 0.000
V: 0.000 0.500 0.500
V: 0.500 0.000 0.500
V: 0.500 0.500 0.000

# 3
TaV3: relaxed, PBE-GGA.

Results
The formation energy comes out at 63 kJ/mol of formula units. As for the excess energy over the best structure of this formula in the dataset: 117.0 meV/atom.

Cell: 5.236 5.236 5.236 Å, 139.55 139.55 58.53°
Sites, in units of the cell vectors:
Ta: 0.000 0.000 0.000
V: 0.250 0.750 0.500
V: 0.500 0.500 0.000
V: 0.750 0.250 0.500

# 4
TaV4: relaxed, PBE-GGA.

Results
The formation energy comes out at 770 kJ/mol of formula units. As for the excess energy over the best structure of this formula in the dataset: 1133.6 meV/atom.

Cell: 4.595 4.595 4.595 Å, 90.00 90.00 90.00°
Sites, in units of the cell vectors:
Ta: 0.000 0.000 0.000
V: 0.000 0.000 0.500
V: 0.000 0.500 0.000
V: 0.500 0.000 0.000
V: 0.500 0.500 0.500

# 5
TaV2W3: relaxed, PBE-GGA.

Results
The formation energy comes out at -35 kJ/mol of formula units. As for the excess energy over the best structure of this formula in the dataset: 0.0 meV/atom.

Cell: 3.140 3.140 9.435 Å, 90.00 90.00 90.00°
Sites, in units of the cell vectors:
Ta: 0.000 0.000 0.000
V: 0.000 0.000 0.337
V: 0.000 0.000 0.663
W: 0.500 0.500 0.178
W: 0.500 0.500 0.500
W: 0.500 0.500 0.822

# 6
TaV2W2: relaxed, PBE-GGA.

Results
The formation energy comes out at -24 kJ/mol of formula units. As for the excess energy over the best structure of this formula in the dataset: 0.0 meV/atom.

Cell: 4.434 4.434 5.234 Å, 115.08 115.08 60.12°
Sites, in units of the cell vectors:
Ta: 0.000 0.000 0.000
V: 0.203 0.203 0.610
V: 0.797 0.797 0.390
W: 0.404 0.404 0.210
W: 0.596 0.596 0.790

# 7
Ta12VW6: relaxed, PBE-GGA.

Results
The formation energy comes out at 220 kJ/mol of formula units.

Cell: 6.999 6.999 6.999 Å, 88.52 88.52 88.52°
Sites, in units of the cell vectors:
Ta: 0.017 0.315 0.915
Ta: 0.085 0.983 0.685
Ta: 0.122 0.355 0.445
Ta: 0.315 0.915 0.017
Ta: 0.355 0.445 0.122
Ta: 0.445 0.122 0.355
Ta: 0.555 0.878 0.645
Ta: 0.645 0.555 0.878
Ta: 0.685 0.085 0.983
Ta: 0.878 0.645 0.555
Ta: 0.915 0.017 0.315
Ta: 0.983 0.685 0.085
V: 0.500 0.500 0.500
W: 0.242 0.756 0.386
W: 0.244 0.614 0.758
W: 0.386 0.242 0.756
W: 0.614 0.758 0.244
W: 0.756 0.386 0.242
W: 0.758 0.244 0.614

# 8
Ta4V2W3: relaxed, PBE-GGA.

Results
The formation energy comes out at -52 kJ/mol of formula units.

Cell: 4.532 4.532 8.347 Å, 90.00 90.00 120.00°
Sites, in units of the cell vectors:
Ta: 0.000 0.000 0.171
Ta: 0.000 0.000 0.829
Ta: 0.333 0.667 0.612
Ta: 0.667 0.333 0.388
V: 0.333 0.667 0.273
V: 0.667 0.333 0.727
W: 0.000 0.000 0.500
W: 0.333 0.667 0.950
W: 0.667 0.333 0.050

# 9
TaVW: relaxed, PBE-GGA.

Results
The formation energy comes out at -3 kJ/mol of formula units. As for the excess energy over the best structure of this formula in the dataset: 111.7 meV/atom.

Cell: 2.783 2.783 13.167 Å, 90.00 90.00 109.84°
Sites, in units of the cell vectors:
Ta: 0.250 0.750 0.907
Ta: 0.750 0.250 0.093
V: 0.250 0.750 0.574
V: 0.750 0.250 0.426
W: 0.250 0.750 0.268
W: 0.750 0.250 0.732

# 10
TaV14W: relaxed, PBE-GGA.

Results
The formation energy comes out at 6 kJ/mol of formula units.

Cell: 5.260 5.260 8.570 Å, 90.00 90.00 109.08°
Sites, in units of the cell vectors:
Ta: 0.000 0.000 0.000
V: 0.000 0.000 0.500
V: 0.000 0.500 0.000
V: 0.000 0.500 0.500
V: 0.249 0.751 0.257
V: 0.249 0.751 0.743
V: 0.254 0.254 0.260
V: 0.254 0.254 0.740
V: 0.500 0.000 0.000
V: 0.500 0.000 0.500
V: 0.500 0.500 0.500
V: 0.746 0.746 0.260
V: 0.746 0.746 0.740
V: 0.751 0.249 0.257
V: 0.751 0.249 0.743
W: 0.500 0.500 0.000

# 11
TaV4W5: relaxed, PBE-GGA.

Results
The formation energy comes out at -61 kJ/mol of formula units.

Cell: 3.117 3.117 15.627 Å, 90.00 90.00 90.00°
Sites, in units of the cell vectors:
Ta: 0.000 0.000 0.000
V: 0.000 0.000 0.205
V: 0.000 0.000 0.402
V: 0.000 0.000 0.598
V: 0.000 0.000 0.795
W: 0.500 0.500 0.109
W: 0.500 0.500 0.304
W: 0.500 0.500 0.500
W: 0.500 0.500 0.696
W: 0.500 0.500 0.891

# 12
Ta2V9W: relaxed, PBE-GGA.

Results
The formation energy comes out at 171 kJ/mol of formula units.

Cell: 8.489 8.489 8.489 Å, 34.78 34.78 34.78°
Sites, in units of the cell vectors:
Ta: 0.145 0.145 0.145
Ta: 0.855 0.855 0.855
V: 0.081 0.583 0.583
V: 0.332 0.332 0.332
V: 0.417 0.417 0.919
V: 0.417 0.919 0.417
V: 0.500 0.500 0.500
V: 0.583 0.081 0.583
V: 0.583 0.583 0.081
V: 0.668 0.668 0.668
V: 0.919 0.417 0.417
W: 0.000 0.000 0.000

# 13
Ta3V2W: relaxed, PBE-GGA.

Results
The formation energy comes out at -12 kJ/mol of formula units.

Cell: 7.152 7.152 6.393 Å, 90.00 90.00 143.12°
Sites, in units of the cell vectors:
Ta: 0.000 0.000 0.248
Ta: 0.000 0.000 0.752
Ta: 0.334 0.666 0.247
Ta: 0.334 0.666 0.753
Ta: 0.666 0.334 0.247
Ta: 0.666 0.334 0.753
V: 0.166 0.834 0.000
V: 0.500 0.500 0.000
V: 0.500 0.500 0.500
V: 0.834 0.166 0.000
W: 0.165 0.835 0.500
W: 0.835 0.165 0.500

# 14
TaV2W2: relaxed, PBE-GGA.

Results
The formation energy comes out at 317 kJ/mol of formula units. As for the excess energy over the best structure of this formula in the dataset: 706.5 meV/atom.

Cell: 7.414 7.414 7.414 Å, 153.21 153.21 38.26°
Sites, in units of the cell vectors:
Ta: 0.000 0.000 0.000
V: 0.250 0.750 0.500
V: 0.750 0.250 0.500
W: 0.395 0.395 0.000
W: 0.605 0.605 0.000

# 15
TaV2W2: relaxed, PBE-GGA.

Results
The formation energy comes out at 231 kJ/mol of formula units. As for the excess energy over the best structure of this formula in the dataset: 528.4 meV/atom.

Cell: 7.335 7.335 3.014 Å, 90.00 90.00 90.00°
Sites, in units of the cell vectors:
Ta: 0.000 0.000 0.000
Ta: 0.500 0.500 0.000
V: 0.150 0.350 0.500
V: 0.350 0.850 0.500
V: 0.650 0.150 0.500
V: 0.850 0.650 0.500
W: 0.150 0.650 0.000
W: 0.350 0.150 0.000
W: 0.650 0.850 0.000
W: 0.850 0.350 0.000

# 16
TaVW3: relaxed, PBE-GGA.

Results
The formation energy comes out at 1136 kJ/mol of formula units. As for the excess energy over the best structure of this formula in the dataset: 2433.7 meV/atom.

Cell: 4.762 4.762 4.762 Å, 90.00 90.00 90.00°
Sites, in units of the cell vectors:
Ta: 0.000 0.000 0.000
V: 0.500 0.500 0.500
W: 0.000 0.000 0.500
W: 0.000 0.500 0.000
W: 0.500 0.000 0.000

# 17
TaVW: relaxed, PBE-GGA.

Results
The formation energy comes out at 348 kJ/mol of formula units. As for the excess energy over the best structure of this formula in the dataset: 1324.5 meV/atom.

Cell: 4.137 4.137 8.431 Å, 90.00 90.00 120.00°
Sites, in units of the cell vectors:
Ta: 0.000 0.000 0.169
Ta: 0.000 0.000 0.831
V: 0.333 0.667 0.613
V: 0.667 0.333 0.387
W: 0.333 0.667 0.303
W: 0.667 0.333 0.697

# 18
Ta2V5W: relaxed, PBE-GGA.

Results
The formation energy comes out at -3 kJ/mol of formula units.

Cell: 7.015 7.015 7.015 Å, 143.70 143.70 52.27°
Sites, in units of the cell vectors:
Ta: 0.248 0.248 0.000
Ta: 0.752 0.752 0.000
V: 0.000 0.000 0.000
V: 0.118 0.618 0.500
V: 0.382 0.882 0.500
V: 0.618 0.118 0.500
V: 0.882 0.382 0.500
W: 0.500 0.500 0.000

# 19
TaV4W8: relaxed, PBE-GGA.

Results
The formation energy comes out at 222 kJ/mol of formula units.

Cell: 6.881 6.881 6.881 Å, 97.90 97.90 136.48°
Sites, in units of the cell vectors:
Ta: 0.000 0.000 0.000
V: 0.000 0.000 0.500
V: 0.000 0.500 0.000
V: 0.500 0.000 0.000
V: 0.500 0.500 0.500
W: 0.000 0.354 0.354
W: 0.000 0.646 0.646
W: 0.285 0.500 0.785
W: 0.354 0.000 0.354
W: 0.500 0.285 0.785
W: 0.500 0.715 0.215
W: 0.646 0.000 0.646
W: 0.715 0.500 0.215

# 20
TaV2W2: relaxed, PBE-GGA.

Results
The formation energy comes out at 152 kJ/mol of formula units. As for the excess energy over the best structure of this formula in the dataset: 363.3 meV/atom.

Cell: 5.329 5.329 10.216 Å, 90.00 90.00 145.82°
Sites, in units of the cell vectors:
Ta: 0.138 0.862 0.500
Ta: 0.862 0.138 0.000
V: 0.234 0.766 0.199
V: 0.475 0.525 0.801
V: 0.525 0.475 0.301
V: 0.766 0.234 0.699
W: 0.172 0.828 0.884
W: 0.429 0.571 0.571
W: 0.571 0.429 0.071
W: 0.828 0.172 0.384